Density functional theory data (GGA-PBE) for a relaxed structure of Er3GaO.

Cell lengths 6.648, 6.253, 10.425 Å; angles 90.00, 96.42, 90.00 degrees
Element x y z (fractional)
Er  0.084  0.050  0.154
Er  0.084  0.450  0.654
Er  0.216  0.549  0.073
Er  0.216  0.951  0.573
Er  0.378  0.163  0.882
Er  0.378  0.337  0.382
Er  0.622  0.663  0.618
Er  0.622  0.837  0.118
Er  0.784  0.049  0.427
Er  0.784  0.451  0.927
Er  0.916  0.550  0.346
Er  0.916  0.950  0.846
Ga  0.376  0.701  0.840
Ga  0.376  0.799  0.340
Ga  0.624  0.201  0.660
Ga  0.624  0.299  0.160
O  0.073  0.241  0.967
O  0.073  0.259  0.467
O  0.927  0.741  0.533
O  0.927  0.759  0.033

Results
As for the space-group type: P2_1/c (14). The value obtained for the total energy is -5.66 eV/atom. The uncorrected formation energy is -1.328 eV per atom. As for the total magnetization: 0.0 μB/cell. The value obtained for the density of states at the Fermi level is 3.1 states/eV/f.u.

Density functional theory data (GGA-PBE) for a relaxed structure of PmU5N6.

Cell lengths 5.993, 5.993, 6.007 Å; angles 99.63, 99.63, 119.92 degrees
Element x y z (fractional)
Pm  0.000  0.000  0.000
U  0.164  0.836  0.500
U  0.333  0.667  0.000
U  0.500  0.500  0.500
U  0.667  0.333  0.000
U  0.836  0.164  0.500
N  0.086  0.432  0.257
N  0.261  0.261  0.746
N  0.432  0.086  0.257
N  0.568  0.914  0.743
N  0.739  0.739  0.254
N  0.914  0.568  0.743

Results
As for the space-group type: C2/m (12). The value obtained for the total energy is -10.58 eV/atom. The uncorrected formation energy is -1.321 eV per atom. As for the total magnetization: 6.4 μB/cell. The value obtained for the density of states at the Fermi level is 22.1 states/eV/f.u.

Density functional theory data (GGA-PBE) for a relaxed structure of BePtSe.

Cell lengths 4.469, 4.469, 5.182 Å; angles 97.48, 97.48, 96.55 degrees
Element x y z (fractional)
Be  0.000  0.000  0.000
Be  0.585  0.585  0.565
Pt  0.000  0.474  0.819
Pt  0.474  0.000  0.819
Se  0.214  0.214  0.446
Se  0.640  0.640  0.122

Results
As for the space-group type: Cm (8). The value obtained for the total energy is -4.71 eV/atom. The uncorrected formation energy is -0.295 eV per atom. As for the total magnetization: 0.0 μB/cell. The value obtained for the density of states at the Fermi level is 0.1 states/eV/f.u.

Density functional theory data (GGA-PBE) for a relaxed structure of TbCe2SnC.

Cell lengths 4.943, 4.943, 4.991 Å; angles 90.00, 90.00, 90.00 degrees
Element x y z (fractional)
Tb  0.000  0.000  0.000
Ce  0.000  0.500  0.500
Ce  0.500  0.000  0.500
Sn  0.500  0.500  0.000
C  0.000  0.000  0.500

Results
As for the space-group type: P4/mmm (123). The value obtained for the total energy is -6.44 eV/atom. As for the total magnetization: 1.2 μB/cell. For the energy relative to the elements, the calculation gives -2.5 eV/f.u. The value obtained for the density of states at the Fermi level is 9.1 states/eV/f.u.

Density functional theory data (GGA-PBE) for a relaxed structure of ReAg2Ir.

Cell lengths 9.565, 9.565, 9.565 Å; angles 16.92, 16.92, 16.92 degrees
Element x y z (fractional)
Re  0.000  0.000  0.000
Ag  0.246  0.246  0.246
Ag  0.493  0.493  0.493
Ir  0.739  0.739  0.739

Results
The value obtained for the relative energy among the computed polymorphs is 0.0 kJ/mol of atoms. As for the space-group type: R3m (160). The value obtained for the total energy is -6.55 eV/atom. As for the total magnetization: 0.0 μB/cell. For the energy relative to the elements, the calculation gives 0.8 eV/f.u. The value obtained for the density of states at the Fermi level is 3.6 states/eV/f.u.

Density functional theory data (GGA-PBE) for a relaxed structure of ThMg10Zn3.

Cell lengths 9.747, 9.747, 9.747 Å; angles 60.00, 60.00, 60.00 degrees
Element x y z (fractional)
Th  0.250  0.250  0.250
Th  0.750  0.750  0.750
Mg  0.000  0.000  0.344
Mg  0.000  0.000  0.656
Mg  0.000  0.344  0.000
Mg  0.000  0.344  0.656
Mg  0.000  0.656  0.000
Mg  0.000  0.656  0.344
Mg  0.161  0.613  0.613
Mg  0.344  0.000  0.000
Mg  0.344  0.000  0.656
Mg  0.344  0.656  0.000
Mg  0.387  0.387  0.387
Mg  0.387  0.387  0.839
Mg  0.387  0.839  0.387
Mg  0.613  0.161  0.613
Mg  0.613  0.613  0.161
Mg  0.613  0.613  0.613
Mg  0.656  0.000  0.000
Mg  0.656  0.000  0.344
Mg  0.656  0.344  0.000
Mg  0.839  0.387  0.387
Zn  0.267  0.267  0.733
Zn  0.267  0.733  0.267
Zn  0.267  0.733  0.733
Zn  0.733  0.267  0.267
Zn  0.733  0.267  0.733
Zn  0.733  0.733  0.267

Results
As for the space-group type: Fm-3m (225). The value obtained for the total energy is -1.89 eV/atom. As for the total magnetization: 0.0 μB/cell. For the energy relative to the elements, the calculation gives 0.8 eV/f.u. The value obtained for the density of states at the Fermi level is 5.6 states/eV/f.u.

Copy entry 3 word for word.
Density functional theory data (GGA-PBE) for a relaxed structure of BePtSe.

Cell lengths 4.469, 4.469, 5.182 Å; angles 97.48, 97.48, 96.55 degrees
Element x y z (fractional)
Be  0.000  0.000  0.000
Be  0.585  0.585  0.565
Pt  0.000  0.474  0.819
Pt  0.474  0.000  0.819
Se  0.214  0.214  0.446
Se  0.640  0.640  0.122

Results
As for the space-group type: Cm (8). The value obtained for the total energy is -4.71 eV/atom. The uncorrected formation energy is -0.295 eV per atom. As for the total magnetization: 0.0 μB/cell. The value obtained for the density of states at the Fermi level is 0.1 states/eV/f.u.

What did the sixth record say?
Density functional theory data (GGA-PBE) for a relaxed structure of ThMg10Zn3.

Cell lengths 9.747, 9.747, 9.747 Å; angles 60.00, 60.00, 60.00 degrees
Element x y z (fractional)
Th  0.250  0.250  0.250
Th  0.750  0.750  0.750
Mg  0.000  0.000  0.344
Mg  0.000  0.000  0.656
Mg  0.000  0.344  0.000
Mg  0.000  0.344  0.656
Mg  0.000  0.656  0.000
Mg  0.000  0.656  0.344
Mg  0.161  0.613  0.613
Mg  0.344  0.000  0.000
Mg  0.344  0.000  0.656
Mg  0.344  0.656  0.000
Mg  0.387  0.387  0.387
Mg  0.387  0.387  0.839
Mg  0.387  0.839  0.387
Mg  0.613  0.161  0.613
Mg  0.613  0.613  0.161
Mg  0.613  0.613  0.613
Mg  0.656  0.000  0.000
Mg  0.656  0.000  0.344
Mg  0.656  0.344  0.000
Mg  0.839  0.387  0.387
Zn  0.267  0.267  0.733
Zn  0.267  0.733  0.267
Zn  0.267  0.733  0.733
Zn  0.733  0.267  0.267
Zn  0.733  0.267  0.733
Zn  0.733  0.733  0.267

Results
As for the space-group type: Fm-3m (225). The value obtained for the total energy is -1.89 eV/atom. As for the total magnetization: 0.0 μB/cell. For the energy relative to the elements, the calculation gives 0.8 eV/f.u. The value obtained for the density of states at the Fermi level is 5.6 states/eV/f.u.